## NaCo3O4 (PBE with a Hubbard U)

Data for NaCo3O4 after structural relaxation.

Calculated values
uncorrected energy	-5.67	eV/atom
theoretical density	4.2	g/cm3

abc: 6.791 5.730 5.312
angles: 90.00 90.00 90.00
Positions (direct):
Na 0.000 0.167 0.000
Na 0.500 0.833 0.500
Co 0.000 0.819 0.510
Co 0.247 0.331 0.508
Co 0.253 0.669 0.008
Co 0.500 0.181 0.010
Co 0.747 0.669 0.008
Co 0.753 0.331 0.508
O 0.000 0.145 0.448
O 0.000 0.786 0.867
O 0.216 0.654 0.380
O 0.284 0.346 0.880
O 0.500 0.214 0.367
O 0.500 0.855 0.948
O 0.716 0.346 0.880
O 0.784 0.654 0.380